# 1
DFT (PBE) results for crystalline GdSnHgPt at its relaxed geometry.

Geometry as CIF:
```
data_GdSnHgPt
_cell_length_a 5.013
_cell_length_b 5.013
_cell_length_c 5.013
_cell_angle_alpha 60.00
_cell_angle_beta 60.00
_cell_angle_gamma 60.00
_symmetry_space_group_name_H-M 'P 1'
_symmetry_Int_Tables_number 1
loop_
_symmetry_equiv_pos_as_xyz
'x,y,z'
loop_
_atom_site_label
_atom_site_fract_x
_atom_site_fract_y
_atom_site_fract_z
Gd1 0.000 0.000 0.000
Hg1 0.250 0.250 0.250
Sn1 0.500 0.500 0.500
Pt1 0.750 0.750 0.750
```

Calculated values
Spin magnetization in μB/f.u.: 6.947
Energy of formation in eV per atom: -0.613
Fermi-level density of states in states/eV per cell: 2.39

# 2
DFT (PBE) results for crystalline TiCuAsW2 at its relaxed geometry.

Geometry as CIF:
```
data_TiCuAsW2
_cell_length_a 4.595
_cell_length_b 4.631
_cell_length_c 4.595
_cell_angle_alpha 90.00
_cell_angle_beta 90.00
_cell_angle_gamma 90.00
_symmetry_space_group_name_H-M 'P 1'
_symmetry_Int_Tables_number 1
loop_
_symmetry_equiv_pos_as_xyz
'x,y,z'
loop_
_atom_site_label
_atom_site_fract_x
_atom_site_fract_y
_atom_site_fract_z
Ti1 0.000 0.500 0.000
W1 0.500 0.000 0.000
W2 0.000 0.000 0.500
Cu1 0.500 0.500 0.500
As1 0.000 0.000 0.000
```

Calculated values
Spin magnetization in μB/f.u.: 0.001
Energy of formation in eV per atom: 1.317
Fermi-level density of states in states/eV per cell: 8.91

# 3
DFT (PBE) results for crystalline Tm3TlNi8 at its relaxed geometry.

Geometry as CIF:
```
data_Tm3TlNi8
_cell_length_a 5.005
_cell_length_b 5.005
_cell_length_c 8.707
_cell_angle_alpha 73.30
_cell_angle_beta 73.30
_cell_angle_gamma 60.00
_symmetry_space_group_name_H-M 'P 1'
_symmetry_Int_Tables_number 1
loop_
_symmetry_equiv_pos_as_xyz
'x,y,z'
loop_
_atom_site_label
_atom_site_fract_x
_atom_site_fract_y
_atom_site_fract_z
Tm1 0.504 0.504 0.489
Tm2 0.996 0.996 0.013
Tm3 0.376 0.376 0.871
Ni1 0.437 0.942 0.183
Ni2 0.688 0.688 0.936
Ni3 0.437 0.437 0.183
Ni4 0.435 0.937 0.691
Ni5 0.937 0.937 0.691
Ni6 0.188 0.188 0.437
Ni7 0.937 0.435 0.691
Ni8 0.942 0.437 0.183
Tl1 0.873 0.873 0.382
```

Calculated values
Spin magnetization in μB/f.u.: 0.000
Energy of formation in eV per atom: -0.402
Fermi-level density of states in states/eV per cell: 10.20

# 4
DFT (PBE) results for crystalline NbGaCu3 at its relaxed geometry.

Geometry as CIF:
```
data_NbGaCu3
_cell_length_a 4.344
_cell_length_b 4.344
_cell_length_c 4.344
_cell_angle_alpha 90.00
_cell_angle_beta 90.00
_cell_angle_gamma 90.00
_symmetry_space_group_name_H-M 'P 1'
_symmetry_Int_Tables_number 1
loop_
_symmetry_equiv_pos_as_xyz
'x,y,z'
loop_
_atom_site_label
_atom_site_fract_x
_atom_site_fract_y
_atom_site_fract_z
Cu1 0.500 0.000 0.000
Cu2 0.000 0.500 0.000
Cu3 0.000 0.000 0.500
Nb1 0.500 0.500 0.500
Ga1 0.000 0.000 0.000
```

Calculated values
Spin magnetization in μB/f.u.: 0.000
Energy above the most stable polymorph in this dataset in meV/atom: 0
Energy of formation in eV per atom: 0.757
Fermi-level density of states in states/eV per cell: 3.43

# 5
DFT (PBE) results for crystalline CsHg4Pb at its relaxed geometry.

Geometry as CIF:
```
data_CsHg4Pb
_cell_length_a 6.863
_cell_length_b 9.834
_cell_length_c 6.864
_cell_angle_alpha 74.41
_cell_angle_beta 68.32
_cell_angle_gamma 74.41
_symmetry_space_group_name_H-M 'P 1'
_symmetry_Int_Tables_number 1
loop_
_symmetry_equiv_pos_as_xyz
'x,y,z'
loop_
_atom_site_label
_atom_site_fract_x
_atom_site_fract_y
_atom_site_fract_z
Cs1 0.186 0.223 0.186
Cs2 0.814 0.777 0.814
Pb1 0.564 0.180 0.564
Pb2 0.436 0.820 0.436
Hg1 0.178 0.441 0.603
Hg2 0.795 0.000 0.205
Hg3 0.397 0.559 0.822
Hg4 0.822 0.559 0.397
Hg5 0.803 0.265 0.803
Hg6 0.205 0.000 0.795
Hg7 0.603 0.441 0.178
Hg8 0.197 0.735 0.197
```

Calculated values
Spin magnetization in μB/f.u.: 0.000
Energy above the most stable polymorph in this dataset in meV/atom: 0
Energy of formation in eV per atom: -0.131
Fermi-level density of states in states/eV per cell: 6.60

# 6
DFT (PBE) results for crystalline NaAg2SnF8 at its relaxed geometry.

Geometry as CIF:
```
data_NaAg2SnF8
_cell_length_a 5.242
_cell_length_b 5.346
_cell_length_c 7.123
_cell_angle_alpha 90.00
_cell_angle_beta 90.00
_cell_angle_gamma 95.34
_symmetry_space_group_name_H-M 'P 1'
_symmetry_Int_Tables_number 1
loop_
_symmetry_equiv_pos_as_xyz
'x,y,z'
loop_
_atom_site_label
_atom_site_fract_x
_atom_site_fract_y
_atom_site_fract_z
Ag1 0.500 0.500 0.254
Ag2 0.500 0.500 0.746
F1 0.691 0.683 0.500
F2 0.819 0.165 0.205
F3 0.309 0.317 0.500
F4 0.282 0.295 0.000
F5 0.718 0.705 0.000
F6 0.819 0.165 0.794
F7 0.181 0.835 0.795
F8 0.181 0.835 0.206
Na1 0.000 0.000 0.500
Sn1 0.000 0.000 0.000
```

Calculated values
Formation energy (no corrections) in meV per atom: -1974
Spin magnetization in μB/f.u.: 0.992
Fermi-level density of states in states/eV per cell: 2.41

# 7
DFT (PBE) results for crystalline Tc3IrSe at its relaxed geometry.

Geometry as CIF:
```
data_Tc3IrSe
_cell_length_a 4.743
_cell_length_b 4.743
_cell_length_c 4.743
_cell_angle_alpha 90.00
_cell_angle_beta 90.00
_cell_angle_gamma 90.00
_symmetry_space_group_name_H-M 'P 1'
_symmetry_Int_Tables_number 1
loop_
_symmetry_equiv_pos_as_xyz
'x,y,z'
loop_
_atom_site_label
_atom_site_fract_x
_atom_site_fract_y
_atom_site_fract_z
Tc1 0.000 0.500 0.000
Tc2 0.000 0.000 0.500
Tc3 0.500 0.000 0.000
Ir1 0.000 0.000 0.000
Se1 0.500 0.500 0.500
```

Calculated values
Formation energy (no corrections) in meV per atom: 1780
Spin magnetization in μB/f.u.: 2.483
Energy above the most stable polymorph in this dataset in meV/atom: 426
Fermi-level density of states in states/eV per cell: 8.01

# 8
DFT (PBE) results for crystalline Sm2TlPd4 at its relaxed geometry.

Geometry as CIF:
```
data_Sm2TlPd4
_cell_length_a 5.030
_cell_length_b 5.030
_cell_length_c 8.049
_cell_angle_alpha 108.21
_cell_angle_beta 108.21
_cell_angle_gamma 90.00
_symmetry_space_group_name_H-M 'P 1'
_symmetry_Int_Tables_number 1
loop_
_symmetry_equiv_pos_as_xyz
'x,y,z'
loop_
_atom_site_label
_atom_site_fract_x
_atom_site_fract_y
_atom_site_fract_z
Pd1 0.500 0.000 0.000
Pd2 0.188 0.188 0.377
Pd3 0.812 0.812 0.623
Pd4 0.000 0.500 0.000
Tl1 0.000 0.000 0.000
Sm1 0.629 0.629 0.259
Sm2 0.371 0.371 0.741
```

Calculated values
Spin magnetization in μB/f.u.: 0.000
Energy of formation in eV per atom: -0.070
Fermi-level density of states in states/eV per cell: 3.92

# 9
DFT (PBE) results for crystalline Y2HoCo at its relaxed geometry.

Geometry as CIF:
```
data_Y2HoCo
_cell_length_a 3.575
_cell_length_b 3.575
_cell_length_c 10.535
_cell_angle_alpha 80.23
_cell_angle_beta 80.23
_cell_angle_gamma 60.00
_symmetry_space_group_name_H-M 'P 1'
_symmetry_Int_Tables_number 1
loop_
_symmetry_equiv_pos_as_xyz
'x,y,z'
loop_
_atom_site_label
_atom_site_fract_x
_atom_site_fract_y
_atom_site_fract_z
Co1 0.500 0.500 0.500
Ho1 0.000 0.000 0.000
Y1 0.113 0.113 0.662
Y2 0.887 0.887 0.338
```

Calculated values
Spin magnetization in μB/f.u.: 0.121
Energy above the most stable polymorph in this dataset in meV/atom: 359
Energy of formation in eV per atom: 0.203
Fermi-level density of states in states/eV per cell: 6.03

# 10
DFT (PBE) results for crystalline NaVW2 at its relaxed geometry.

Geometry as CIF:
```
data_NaVW2
_cell_length_a 2.719
_cell_length_b 5.108
_cell_length_c 10.425
_cell_angle_alpha 103.43
_cell_angle_beta 94.99
_cell_angle_gamma 98.93
_symmetry_space_group_name_H-M 'P 1'
_symmetry_Int_Tables_number 1
loop_
_symmetry_equiv_pos_as_xyz
'x,y,z'
loop_
_atom_site_label
_atom_site_fract_x
_atom_site_fract_y
_atom_site_fract_z
Na1 0.030 0.229 0.053
Na2 0.500 0.728 0.048
W1 0.133 0.839 0.765
W2 0.641 0.333 0.767
W3 0.272 0.477 0.546
W4 0.906 0.631 0.330
V1 0.775 0.980 0.546
V2 0.417 0.123 0.336
```

Calculated values
Spin magnetization in μB/f.u.: 0.000
Energy above the most stable polymorph in this dataset in meV/atom: 193
Energy of formation in eV per atom: 0.458
Fermi-level density of states in states/eV per cell: 7.46

# 11
DFT (PBE) results for crystalline Cd4WAu at its relaxed geometry.

Geometry as CIF:
```
data_Cd4WAu
_cell_length_a 5.584
_cell_length_b 5.584
_cell_length_c 5.584
_cell_angle_alpha 60.00
_cell_angle_beta 60.00
_cell_angle_gamma 60.00
_symmetry_space_group_name_H-M 'P 1'
_symmetry_Int_Tables_number 1
loop_
_symmetry_equiv_pos_as_xyz
'x,y,z'
loop_
_atom_site_label
_atom_site_fract_x
_atom_site_fract_y
_atom_site_fract_z
W1 0.750 0.750 0.750
Au1 0.000 0.000 0.000
Cd1 0.375 0.375 0.874
Cd2 0.874 0.375 0.375
Cd3 0.375 0.375 0.375
Cd4 0.375 0.874 0.375
```

Calculated values
Spin magnetization in μB/f.u.: 2.925
Energy of formation in eV per atom: 0.765
Fermi-level density of states in states/eV per cell: 4.14

# 12
DFT (PBE) results for crystalline CrOsRh3 at its relaxed geometry.

Geometry as CIF:
```
data_CrOsRh3
_cell_length_a 3.790
_cell_length_b 5.391
_cell_length_c 7.150
_cell_angle_alpha 78.39
_cell_angle_beta 105.37
_cell_angle_gamma 90.00
_symmetry_space_group_name_H-M 'P 1'
_symmetry_Int_Tables_number 1
loop_
_symmetry_equiv_pos_as_xyz
'x,y,z'
loop_
_atom_site_label
_atom_site_fract_x
_atom_site_fract_y
_atom_site_fract_z
Rh1 0.224 0.938 0.481
Rh2 0.023 0.547 0.080
Rh3 0.419 0.337 0.871
Rh4 0.820 0.640 0.673
Rh5 0.021 0.031 0.074
Rh6 0.625 0.241 0.283
Os1 0.826 0.130 0.686
Os2 0.218 0.448 0.469
Cr1 0.420 0.851 0.874
Cr2 0.624 0.727 0.280
```

Calculated values
Spin magnetization in μB/f.u.: 0.587
Energy above the most stable polymorph in this dataset in meV/atom: 0
Energy of formation in eV per atom: -0.017
Fermi-level density of states in states/eV per cell: 10.07

Q: Which value of Fermi-level density of states does entry 9 give?
A: 6.03 states/eV per cell